Entry 1:
This record from Alexandria describes a PBEsol-optimized structure of Li3MoP2O9. The functional is meta-GGA SCAN.

Properties
formation energy from raw total energies: -2.400 eV per atom
density of states at the Fermi level: 2.665 states/eV/cell

a = 7.0628 Å, b = 7.0867 Å, c = 7.8706 Å
α = 64.19°, β = 88.75°, γ = 87.25°
Space group P1 (No. 1)
Inequivalent atoms, fractional coordinates:
Li (0.0000, 0.0000, 0.0000)
Li (0.0908, 0.7060, 0.5737)
Li (0.2421, 0.1539, 0.3326)
Li (0.4069, 0.5968, 0.0751)
Li (0.5023, 0.2006, 0.6469)
Li (0.7404, 0.3873, 0.8246)
Mo (0.7408, 0.1574, 0.3296)
Mo (0.7502, 0.6648, 0.3146)
P (0.0453, 0.2816, 0.5719)
P (0.4436, 0.0485, 0.0735)
P (0.5058, 0.7697, 0.6314)
P (0.9883, 0.5346, 0.0168)
O (0.1746, 0.4612, 0.1212)
O (0.2315, 0.0424, 0.0786)
O (0.2575, 0.2588, 0.5662)
O (0.3182, 0.8384, 0.5286)
O (0.5005, 0.1519, 0.2083)
O (0.5089, 0.6516, 0.8422)
O (0.5221, 0.8085, 0.1669)
O (0.5473, 0.1651, 0.8897)
O (0.6199, 0.9800, 0.5696)
O (0.6247, 0.6260, 0.5547)
O (0.6617, 0.4038, 0.3509)
O (0.8283, 0.9237, 0.2932)
O (0.8524, 0.3419, 0.0837)
O (0.8903, 0.6988, 0.0857)
O (0.9395, 0.2044, 0.7571)
O (0.9764, 0.1627, 0.4531)
O (0.9841, 0.5239, 0.4599)
O (0.9842, 0.6304, 0.8057)

***

Entry 2:
This record from Alexandria describes a PBEsol-optimized structure of LiMoP4O13. The functional is meta-GGA SCAN.

Properties
formation energy from raw total energies: -2.281 eV per atom
density of states at the Fermi level: 3.369 states/eV/cell

a = 5.1430 Å, b = 7.8398 Å, c = 13.8818 Å
α = 83.47°, β = 87.84°, γ = 80.73°
Space group P1 (No. 1)
Inequivalent atoms, fractional coordinates:
Li (0.0000, 0.0000, 0.0000)
Li (0.4835, 0.0980, 0.5118)
Mo (0.0790, 0.4304, 0.2377)
Mo (0.9123, 0.5706, 0.7575)
P (0.1269, 0.9357, 0.6779)
P (0.1915, 0.8269, 0.2061)
P (0.3557, 0.7467, 0.8606)
P (0.4683, 0.3898, 0.6551)
P (0.5216, 0.6022, 0.3468)
P (0.6335, 0.2566, 0.1344)
P (0.7991, 0.1741, 0.7960)
P (0.8605, 0.0696, 0.3178)
O (0.0159, 0.8828, 0.2996)
O (0.0641, 0.1964, 0.3037)
O (0.0777, 0.6688, 0.1778)
O (0.1771, 0.4741, 0.6694)
O (0.1891, 0.6057, 0.8421)
O (0.1944, 0.9719, 0.1292)
O (0.2663, 0.9598, 0.5845)
O (0.2950, 0.8263, 0.9512)
O (0.3246, 0.8882, 0.7660)
O (0.3384, 0.3425, 0.1454)
O (0.3575, 0.4612, 0.3219)
O (0.4656, 0.6717, 0.4398)
O (0.4696, 0.7526, 0.2531)
O (0.5156, 0.2483, 0.7522)
O (0.5198, 0.3014, 0.5668)
O (0.6396, 0.5293, 0.6711)
O (0.6499, 0.6601, 0.8471)
O (0.6641, 0.1160, 0.2295)
O (0.7010, 0.1752, 0.0446)
O (0.7196, 0.0586, 0.4112)
O (0.7998, 0.3978, 0.1534)
O (0.8025, 0.0280, 0.8723)
O (0.8147, 0.5223, 0.3264)
O (0.9154, 0.3330, 0.8214)
O (0.9325, 0.8033, 0.6892)
O (0.9624, 0.1186, 0.7000)

***

Entry 3:
This record from Alexandria describes a PBEsol-optimized structure of LiMoP2O8. The functional is meta-GGA SCAN.

Properties
relative energy among the computed polymorphs: 0.000 eV per atom
formation energy from raw total energies: -2.361 eV per atom

a = 5.1421 Å, b = 10.6430 Å, c = 11.2054 Å
α = 90.00°, β = 90.00°, γ = 90.00°
Space group P2_12_12_1 (No. 19)
Inequivalent atoms, fractional coordinates:
Li (0.2253, 0.2440, 0.0873)
Mo (0.2276, 0.9090, 0.8511)
P (0.2020, 0.5923, 0.9620)
P (0.2386, 0.6393, 0.3275)
O (0.0220, 0.8279, 0.7069)
O (0.0500, 0.6631, 0.2247)
O (0.0678, 0.0459, 0.4974)
O (0.0953, 0.4419, 0.5560)
O (0.1464, 0.7038, 0.4397)
O (0.2063, 0.7269, 0.9226)
O (0.2332, 0.4892, 0.3453)
O (0.2439, 0.0487, 0.7852)

***

Entry 4:
This record from Alexandria describes a PBEsol-optimized structure of LiMoPO5. The functional is meta-GGA SCAN.

Properties
relative energy among the computed polymorphs: 0.000 eV per atom
formation energy from raw total energies: -2.348 eV per atom
density of states at the Fermi level: 0.415 states/eV/cell

a = 7.0406 Å, b = 7.2343 Å, c = 7.9490 Å
α = 89.82°, β = 87.77°, γ = 63.31°
Space group P-1 (No. 2)
Inequivalent atoms, fractional coordinates:
Li (0.1881, 0.2988, 0.4354)
Li (0.3013, 0.7754, 0.0662)
Mo (0.2516, 0.5008, 0.7531)
Mo (0.2519, 0.9976, 0.7468)
P (0.2271, 0.7434, 0.4023)
P (0.2744, 0.2470, 0.0978)
O (0.0627, 0.4022, 0.1824)
O (0.0784, 0.8449, 0.2560)
O (0.1363, 0.6224, 0.5167)
O (0.2307, 0.7598, 0.8329)
O (0.2525, 0.0729, 0.0009)
O (0.2546, 0.9089, 0.5055)
O (0.2613, 0.2454, 0.6875)
O (0.3681, 0.3605, 0.9803)
O (0.4198, 0.1568, 0.2495)
O (0.4382, 0.5906, 0.3162)

***

Entry 5:
This record from Alexandria describes a PBEsol-optimized structure of LiMo2P3O12. The functional is meta-GGA SCAN.

Properties
relative energy among the computed polymorphs: 0.004 eV per atom
formation energy from raw total energies: -2.314 eV per atom
density of states at the Fermi level: 11.432 states/eV/cell

a = 14.9315 Å, b = 8.7026 Å, c = 8.6304 Å
α = 90.00°, β = 124.79°, γ = 90.00°
Space group C2 (No. 5)
Inequivalent atoms, fractional coordinates:
Li (0.2473, 0.0000, 0.2457)
Mo (0.1102, 0.0260, 0.3901)
Mo (0.1101, 0.5259, 0.8898)
P (0.0000, 0.7351, 0.5000)
P (0.0000, 0.8162, 0.0000)
P (0.1450, 0.3805, 0.2914)
P (0.1457, 0.1706, 0.7909)
O (0.0364, 0.4330, 0.2543)
O (0.0365, 0.1203, 0.7520)
O (0.0609, 0.7181, 0.9413)
O (0.0618, 0.8347, 0.4439)
O (0.0857, 0.6306, 0.6624)
O (0.0875, 0.9203, 0.1618)
O (0.1546, 0.4286, 0.1308)
O (0.1564, 0.1239, 0.6310)
O (0.1581, 0.2042, 0.3084)
O (0.1612, 0.3472, 0.8092)
O (0.2351, 0.0972, 0.9812)
O (0.2354, 0.4514, 0.4833)

***

Entry 6:
This record from Alexandria describes a PBEsol-optimized structure of Li3MoP2O8. The functional is meta-GGA SCAN.

Properties
relative energy among the computed polymorphs: 0.006 eV per atom
formation energy from raw total energies: -2.427 eV per atom
density of states at the Fermi level: 0.000 states/eV/cell

a = 4.9151 Å, b = 8.9590 Å, c = 7.7592 Å
α = 90.00°, β = 125.30°, γ = 90.00°
Space group P2_1/c (No. 14)
Inequivalent atoms, fractional coordinates:
Li (0.0000, 0.0000, 0.0000)
Li (0.3168, 0.1383, 0.8083)
Mo (0.5000, 0.0000, 0.5000)
P (0.1953, 0.6828, 0.2197)
O (0.1398, 0.1339, 0.4870)
O (0.1654, 0.6450, 0.7434)
O (0.2553, 0.5984, 0.4083)
O (0.4871, 0.6533, 0.1980)

***

Entry 7:
This record from Alexandria describes a PBEsol-optimized structure of LiPrMo2O8. The functional is meta-GGA SCAN.

Properties
formation energy from raw total energies: -2.578 eV per atom
density of states at the Fermi level: 0.000 states/eV/cell

a = 4.9976 Å, b = 5.9111 Å, c = 10.9273 Å
α = 90.00°, β = 110.95°, γ = 90.00°
Space group P2/c (No. 13)
Inequivalent atoms, fractional coordinates:
Li (0.0000, 0.2026, 0.2500)
Pr (0.5000, 0.2868, 0.7500)
Mo (0.2665, 0.1817, 0.0278)
O (0.1212, 0.1054, 0.5938)
O (0.2131, 0.3624, 0.1444)
O (0.3035, 0.3721, 0.9113)
O (0.3771, 0.0685, 0.3805)

***

Entry 8:
This record from Alexandria describes a PBEsol-optimized structure of RbLiMoO4. The functional is meta-GGA SCAN.

Properties
formation energy from raw total energies: -2.328 eV per atom
density of states at the Fermi level: 0.000 states/eV/cell

a = 9.6706 Å, b = 5.6509 Å, c = 9.9886 Å
α = 90.00°, β = 111.11°, γ = 90.00°
Space group Cc (No. 9)
Inequivalent atoms, fractional coordinates:
Rb (0.0000, 0.2170, 0.0000)
Li (0.1200, 0.2412, 0.3707)
Mo (0.2456, 0.2476, 0.7475)
O (0.1143, 0.0590, 0.7775)
O (0.2050, 0.4554, 0.2752)
O (0.2379, 0.2100, 0.5695)
O (0.4256, 0.1794, 0.8675)

***

Entry 9:
This record from Alexandria describes a PBEsol-optimized structure of LiSbMo2O8. The functional is meta-GGA SCAN.

Properties
formation energy from raw total energies: -2.030 eV per atom
density of states at the Fermi level: 0.000 states/eV/cell

a = 21.5910 Å, b = 4.9036 Å, c = 5.5245 Å
α = 90.00°, β = 100.39°, γ = 90.00°
Space group C2/c (No. 15)
Inequivalent atoms, fractional coordinates:
Li (0.2500, 0.2500, 0.0000)
Sb (0.0000, 0.1979, 0.7500)
Mo (0.1379, 0.2531, 0.2802)
O (0.0525, 0.0906, 0.1167)
O (0.1033, 0.4585, 0.4852)
O (0.1610, 0.0433, 0.9594)
O (0.2096, 0.4114, 0.2813)

***

Entry 10:
This record from Alexandria describes a PBEsol-optimized structure of LiSmMo2O8. The functional is meta-GGA SCAN.

Properties
formation energy from raw total energies: -2.595 eV per atom
density of states at the Fermi level: 0.000 states/eV/cell

a = 4.9831 Å, b = 5.8120 Å, c = 10.8209 Å
α = 90.00°, β = 111.28°, γ = 90.00°
Space group P2/c (No. 13)
Inequivalent atoms, fractional coordinates:
Li (0.0000, 0.2200, 0.2500)
Sm (0.5000, 0.2817, 0.7500)
Mo (0.2662, 0.1856, 0.0256)
O (0.1254, 0.1069, 0.5943)
O (0.2160, 0.3727, 0.1425)
O (0.3034, 0.3744, 0.9057)
O (0.3754, 0.0714, 0.3798)

***

Entry 11:
This record from Alexandria describes a PBEsol-optimized structure of LiTl3Mo2O8. The functional is meta-GGA SCAN.

Properties
formation energy from raw total energies: -1.841 eV per atom
density of states at the Fermi level: 0.000 states/eV/cell

a = 5.9758 Å, b = 5.9758 Å, c = 15.5923 Å
α = 90.00°, β = 90.00°, γ = 120.00°
Space group P6_3mc (No. 186)
Inequivalent atoms, fractional coordinates:
Li (0.3333, 0.6667, 0.0000)
Tl (0.0000, 0.0000, 0.1443)
Tl (0.0000, 0.0000, 0.3998)
Tl (0.3333, 0.6667, 0.8012)
Mo (0.3333, 0.6667, 0.2298)
Mo (0.3333, 0.6667, 0.4974)
O (0.0126, 0.5063, 0.4570)
O (0.1701, 0.3403, 0.2656)
O (0.3333, 0.6667, 0.1188)
O (0.3333, 0.6667, 0.6099)